Density functional theory data (PBE-GGA) for crystalline CdIn2Cl4 at its relaxed geometry.

a b c (Å): 4.0841 8.6348 12.0480
angles (deg): 90.00 90.00 90.00
Positions (direct):
1 Cl 0.5000 0.8193 0.5737
2 In 0.5000 0.9176 0.8159
3 In 0.5000 0.0824 0.1841
4 Cl 0.0000 0.8614 0.3062
5 Cl 0.5000 0.1807 0.4263
6 In 0.5000 0.5824 0.3159
7 Cl 0.0000 0.3614 0.1938
8 In 0.5000 0.4176 0.6841
9 Cd 0.0000 0.0000 0.5000
10 Cl 0.0000 0.6386 0.8062
11 Cl 0.5000 0.3193 0.9263
12 Cl 0.0000 0.1386 0.6938
13 Cl 0.5000 0.6807 0.0737
14 Cd 0.0000 0.5000 0.0000

Results
**Density of states at the Fermi level**: 0.000 states/eV/f.u.
**Electronic total energy**: -2.908 eV per atom
**E above lowest polymorph**: 0 meV/atom
**Formation energy from raw total energies**: -634 kJ/mol of formula units